A geometry-optimized LiNdCuSn structure, computed with GGA-PBE.

```
LiNdCuSn
1.0
4.819 0.000 0.000
2.409 4.173 0.000
2.409 1.391 3.935
Cu Sn Nd Li
1 1 1 1
Cartesian
4.819 2.782 1.967
2.409 1.391 0.984
7.228 4.173 2.951
0.000 0.000 0.000
```

Results
**ρ**: 7.00 g cm⁻³
**Total magnetization**: 0.0 μB per formula unit
**Calculated volume**: 19.781 A^3/atom
**DOS at the Fermi energy**: 1.43 states/eV/cell
**SG**: F-43m, No. 216
**Calculated formation energy**: -164.0 kJ/mol of formula units


A geometry-optimized NaRe3Hg structure, computed with GGA-PBE.

```
NaRe3Hg
1.0
4.532 0.000 0.000
0.000 4.532 0.000
0.000 0.000 4.532
Re Na Hg
3 1 1
Cartesian
0.000 2.266 0.000
0.000 0.000 2.266
2.266 0.000 0.000
0.000 0.000 0.000
2.266 2.266 2.266
```

Results
**ρ**: 13.95 g cm⁻³
**Energy above the most stable polymorph in this dataset**: 0 meV/atom
**Total magnetization**: 3.4 μB per formula unit
**Calculated volume**: 18.622 A^3/atom
**DOS at the Fermi energy**: 6.67 states/eV/cell
**SG**: Pm-3m, No. 221
**Calculated formation energy**: 1501.2 kJ/mol of formula units


A geometry-optimized Pm3DyY7 structure, computed with GGA-PBE.

```
Pm3DyY7
1.0
-5.283 0.559 2.496
5.695 -2.570 5.734
4.241 7.331 0.435
Y Pm Dy
7 3 1
Cartesian
6.640 1.988 6.714
3.699 4.229 6.887
-1.988 3.333 1.951
0.953 1.091 1.778
6.060 5.934 4.602
-1.408 -0.613 4.063
4.968 2.381 3.084
4.549 5.232 1.558
5.387 -0.471 4.610
-2.642 0.280 1.248
2.326 2.660 4.332
```

Results
**ρ**: 5.45 g cm⁻³
**Energy above the most stable polymorph in this dataset**: 123 meV/atom
**Total magnetization**: 0.4 μB per formula unit
**Calculated volume**: 33.783 A^3/atom
**DOS at the Fermi energy**: 15.82 states/eV/cell
**SG**: Immm, No. 71
**Calculated formation energy**: 279.9 kJ/mol of formula units